Fe2TcBr | PBE-GGA | relaxed

abc: 6.0794 6.0794 6.0794
angles: 90.00 90.00 90.00
Space group Fm-3m (No. 225)
Asymmetric unit:
Fe (0.2500, 0.2500, 0.2500)
Tc (0.0000, 0.0000, 0.0000)
Br (0.0000, 0.0000, 0.5000)

Values from the calculation:
The value obtained for the density of states at the Fermi level is 3.69 states/eV/f.u. The value obtained for the formation energy (no corrections) is 1045 meV/atom. The theoretical density is 8.56 g/cm³. The value obtained for the polymorph energy (0 for the lowest one) is 243.0 kJ/mol of formula units.


Fe2TcBr | PBE-GGA | relaxed

abc: 2.9979 2.9979 6.5113
angles: 90.00 90.00 90.00
Space group P4mm (No. 99)
Asymmetric unit:
Fe (0.0000, 0.0000, 0.0000)
Fe (0.5000, 0.5000, 0.2117)
Tc (0.0000, 0.0000, 0.4257)
Br (0.5000, 0.5000, 0.7226)

Values from the calculation:
The value obtained for the density of states at the Fermi level is 3.35 states/eV/f.u. The value obtained for the formation energy (no corrections) is 499 meV/atom. The theoretical density is 8.22 g/cm³. The value obtained for the polymorph energy (0 for the lowest one) is 32.1 kJ/mol of formula units.